[1]
The following is a PBE calculation of a relaxed TaMo3Se crystal, from Alexandria.

Results
DFT total energy = -8.515 eV per atom
calculated volume = 18.96 Å³ per atom
formation energy from raw total energies = 5.26 eV per formula unit
symmetry = Pm-3m
magnetic moment = 0.00 Bohr magnetons per cell
polymorph energy (0 for the lowest one) = 0.0 meV per atom

Geometry as POSCAR:
```
TaMo3Se
1.0
4.560 0.000 0.000
0.000 4.560 0.000
0.000 0.000 4.560
Ta Mo Se
1 3 1
Direct
0.000 0.000 0.000
0.000 0.500 0.500
0.500 0.000 0.500
0.500 0.500 0.000
0.500 0.500 0.500
```

---

[2]
The following is a PBE calculation of a relaxed TaMoSe2 crystal, from Alexandria.

Results
DFT total energy = -7.051 eV per atom
calculated volume = 18.36 Å³ per atom
formation energy from raw total energies = 1.45 eV per formula unit
symmetry = Cmmm
magnetic moment = 0.03 Bohr magnetons per cell
polymorph energy (0 for the lowest one) = 808.5 meV per atom

Geometry as POSCAR:
```
TaMoSe2
1.0
1.549 -2.865 0.000
1.549 2.865 0.000
0.000 0.000 8.276
Ta Mo Se
1 1 2
Direct
0.000 0.000 0.000
0.000 0.000 0.500
0.500 0.500 0.255
0.500 0.500 0.745
```

---

[3]
The following is a PBE calculation of a relaxed TaMoSe4 crystal, from Alexandria.

Results
DFT total energy = -6.602 eV per atom
calculated volume = 22.14 Å³ per atom
formation energy from raw total energies = -2.99 eV per formula unit
symmetry = P-1
magnetic moment = 0.00 Bohr magnetons per cell
polymorph energy (0 for the lowest one) = 127.9 meV per atom

Geometry as POSCAR:
```
TaMoSe4
1.0
6.519 0.000 0.000
-2.807 5.887 0.000
-1.265 -1.348 6.921
Ta Mo Se
2 2 8
Direct
0.207 0.059 0.388
0.793 0.941 0.612
0.336 0.492 0.610
0.664 0.508 0.390
0.074 0.764 0.624
0.112 0.318 0.870
0.368 0.195 0.100
0.419 0.723 0.341
0.581 0.277 0.659
0.632 0.805 0.900
0.888 0.682 0.130
0.926 0.236 0.376
```

---

[4]
The following is a PBE calculation of a relaxed TaMoSe2 crystal, from Alexandria.

Results
DFT total energy = -7.410 eV per atom
calculated volume = 17.60 Å³ per atom
formation energy from raw total energies = 0.01 eV per formula unit
symmetry = Imm2
magnetic moment = 0.00 Bohr magnetons per cell
polymorph energy (0 for the lowest one) = 449.4 meV per atom

Geometry as POSCAR:
```
TaMoSe2
1.0
-1.581 2.252 4.942
1.581 -2.252 4.942
1.581 2.252 -4.942
Ta Mo Se
1 1 2
Direct
0.000 0.000 0.000
0.292 0.792 0.500
0.496 0.496 0.000
0.781 0.281 0.500
```

---

[5]
The following is a PBE calculation of a relaxed TaMo3Se crystal, from Alexandria.

Results
DFT total energy = -7.640 eV per atom
calculated volume = 22.32 Å³ per atom
formation energy from raw total energies = 9.63 eV per formula unit
symmetry = Pm-3m
magnetic moment = 1.28 Bohr magnetons per cell
polymorph energy (0 for the lowest one) = 875.0 meV per atom

Geometry as POSCAR:
```
TaMo3Se
1.0
4.815 0.000 0.000
0.000 4.815 0.000
0.000 0.000 4.815
Ta Mo Se
1 3 1
Direct
0.000 0.000 0.000
0.000 0.000 0.500
0.000 0.500 0.000
0.500 0.000 0.000
0.500 0.500 0.500
```

---

[6]
The following is a PBE calculation of a relaxed TaMoSe4 crystal, from Alexandria.

Results
DFT total energy = -4.846 eV per atom
calculated volume = 19.04 Å³ per atom
formation energy from raw total energies = 7.54 eV per formula unit
symmetry = F-43m
magnetic moment = 1.10 Bohr magnetons per cell
polymorph energy (0 for the lowest one) = 1883.1 meV per atom

Geometry as POSCAR:
```
TaMoSe4
1.0
0.000 3.851 3.851
3.851 0.000 3.851
3.851 3.851 0.000
Ta Mo Se
1 1 4
Direct
0.000 0.000 0.000
0.750 0.750 0.750
0.375 0.375 0.375
0.375 0.375 0.875
0.375 0.875 0.375
0.875 0.375 0.375
```